A geometry-optimized Zr2TcAs structure, computed with GGA-PBE.

Geometry as CIF:
```
data_Zr2TcAs
_space_group_name_H-M_alt 'P 4 m m'
_space_group_IT_number 99
_cell_length_a 3.2508
_cell_length_b 3.2508
_cell_length_c 7.1665
_cell_angle_alpha 90.00
_cell_angle_beta 90.00
_cell_angle_gamma 90.00
loop_
_space_group_symop_operation_xyz
'x,y,z'
'-y,x,z'
'-x,-y,z'
'y,-x,z'
'-x,y,z'
'y,x,z'
'x,-y,z'
'-y,-x,z'
loop_
_atom_site_label
_atom_site_fract_x
_atom_site_fract_y
_atom_site_fract_z
Zr1 0.0000 0.0000 0.0000
Zr2 0.5000 0.5000 0.3091
Tc1 0.5000 0.5000 0.7544
As1 0.0000 0.0000 0.5823
```

Output
Its raw total energy is -33.41 eV per formula unit. The crystal system is tetragonal. The calculated formation energy is -324 meV per atom. As for the theoretical density: 7792 kg/m3.

A geometry-optimized ZrTc3As structure, computed with GGA-PBE.

Geometry as CIF:
```
data_ZrTc3As
_space_group_name_H-M_alt 'P m -3 m'
_space_group_IT_number 221
_space_group_name_Hall '-P 4 2 3'
_cell_length_a 4.7896
_cell_length_b 4.7896
_cell_length_c 4.7896
_cell_angle_alpha 90.00
_cell_angle_beta 90.00
_cell_angle_gamma 90.00
loop_
_atom_site_label
_atom_site_fract_x
_atom_site_fract_y
_atom_site_fract_z
Zr1 0.0000 0.0000 0.0000
Tc1 0.0000 0.0000 0.5000
As1 0.5000 0.5000 0.5000
```

Output
Its raw total energy is -34.35 eV per formula unit. The crystal system is cubic. The calculated formation energy is 1988 meV per atom. Its relative energy among the computed polymorphs is 141.0 kJ/mol of atoms. As for the theoretical density: 6954 kg/m3.

A geometry-optimized Zr2Tc2As structure, computed with GGA-PBE.

Geometry as CIF:
```
data_Zr2Tc2As
_space_group_name_H-M_alt 'P 4/m b m'
_space_group_IT_number 127
_space_group_name_Hall '-P 4 2ab'
_cell_length_a 6.3868
_cell_length_b 6.3868
_cell_length_c 4.5292
_cell_angle_alpha 90.00
_cell_angle_beta 90.00
_cell_angle_gamma 90.00
loop_
_atom_site_label
_atom_site_fract_x
_atom_site_fract_y
_atom_site_fract_z
Zr1 0.1803 0.3197 0.0000
Tc1 0.1367 0.6367 0.5000
As1 0.0000 0.0000 0.5000
```

Output
Its raw total energy is -43.69 eV per formula unit. The crystal system is tetragonal. The calculated formation energy is -243 meV per atom. As for the theoretical density: 8150 kg/m3.